Run P
# Pm6Ir2Rh | the Alexandria database | PBE | relaxed
data_Pm6Ir2Rh
_chemical_formula_sum 'Pm6 Ir2 Rh1'
_space_group_name_H-M_alt 'P 1'
_space_group_IT_number 1
_cell_length_a 7.589
_cell_length_b 7.589
_cell_length_c 4.848
_cell_angle_alpha 90.00
_cell_angle_beta 90.00
_cell_angle_gamma 120.00
loop_
_space_group_symop_operation_xyz
'x,y,z'
loop_
_atom_site_label
_atom_site_type_symbol
_atom_site_fract_x
_atom_site_fract_y
_atom_site_fract_z
Pm1 Pm 0.073 0.373 0.247
Pm2 Pm 0.300 0.927 0.247
Pm3 Pm 0.373 0.300 0.753
Pm4 Pm 0.627 0.700 0.247
Pm5 Pm 0.700 0.073 0.753
Pm6 Pm 0.927 0.627 0.753
Ir1 Ir 0.333 0.667 0.805
Ir2 Ir 0.667 0.333 0.195
Rh1 Rh 0.000 0.000 0.000
# M_tot: 0.000 μB/f.u.
# space-group type: No. 147

---

Run Q
# Pm6Ir2Rh | the Alexandria database | PBE | relaxed
data_Pm6Ir2Rh
_chemical_formula_sum 'Pm12 Ir4 Rh2'
_space_group_name_H-M_alt 'P 1'
_space_group_IT_number 1
_cell_length_a 6.826
_cell_length_b 7.380
_cell_length_c 11.859
_cell_angle_alpha 90.00
_cell_angle_beta 120.76
_cell_angle_gamma 90.00
loop_
_space_group_symop_operation_xyz
'x,y,z'
loop_
_atom_site_label
_atom_site_type_symbol
_atom_site_fract_x
_atom_site_fract_y
_atom_site_fract_z
Pm1 Pm 0.084 0.056 0.252
Pm2 Pm 0.084 0.444 0.752
Pm3 Pm 0.261 0.678 0.083
Pm4 Pm 0.261 0.822 0.583
Pm5 Pm 0.399 0.181 0.066
Pm6 Pm 0.399 0.319 0.566
Pm7 Pm 0.601 0.681 0.434
Pm8 Pm 0.601 0.819 0.934
Pm9 Pm 0.739 0.178 0.417
Pm10 Pm 0.739 0.322 0.917
Pm11 Pm 0.916 0.556 0.248
Pm12 Pm 0.916 0.944 0.748
Ir1 Ir 0.322 0.113 0.774
Ir2 Ir 0.322 0.387 0.274
Ir3 Ir 0.678 0.613 0.726
Ir4 Ir 0.678 0.887 0.226
Rh1 Rh 0.000 0.000 0.000
Rh2 Rh 0.000 0.500 0.500
# M_tot: 0.000 μB/f.u.
# space-group type: No. 14

---

The least stable of them is run P.

---

Run P
# Pm2IrRh3 | the Alexandria database | PBE | relaxed
data_Pm2IrRh3
_chemical_formula_sum 'Pm4 Ir2 Rh6'
_space_group_name_H-M_alt 'P 1'
_space_group_IT_number 1
_cell_length_a 5.405
_cell_length_b 5.405
_cell_length_c 8.830
_cell_angle_alpha 90.00
_cell_angle_beta 90.00
_cell_angle_gamma 120.00
loop_
_space_group_symop_operation_xyz
'x,y,z'
loop_
_atom_site_label
_atom_site_type_symbol
_atom_site_fract_x
_atom_site_fract_y
_atom_site_fract_z
Pm1 Pm 0.333 0.667 0.067
Pm2 Pm 0.333 0.667 0.433
Pm3 Pm 0.667 0.333 0.567
Pm4 Pm 0.667 0.333 0.933
Ir1 Ir 0.000 0.000 0.000
Ir2 Ir 0.000 0.000 0.500
Rh1 Rh 0.168 0.336 0.750
Rh2 Rh 0.168 0.832 0.750
Rh3 Rh 0.336 0.168 0.250
Rh4 Rh 0.664 0.832 0.750
Rh5 Rh 0.832 0.168 0.250
Rh6 Rh 0.832 0.664 0.250
# M_tot: 0.000 μB/f.u.
# space-group type: No. 194

---

Run Q
# Pm2IrRh3 | the Alexandria database | PBE | relaxed
data_Pm2IrRh3
_chemical_formula_sum 'Pm2 Ir1 Rh3'
_space_group_name_H-M_alt 'P 1'
_space_group_IT_number 1
_cell_length_a 5.407
_cell_length_b 5.407
_cell_length_c 5.407
_cell_angle_alpha 60.00
_cell_angle_beta 60.00
_cell_angle_gamma 60.00
loop_
_space_group_symop_operation_xyz
'x,y,z'
loop_
_atom_site_label
_atom_site_type_symbol
_atom_site_fract_x
_atom_site_fract_y
_atom_site_fract_z
Pm1 Pm 0.126 0.126 0.126
Pm2 Pm 0.874 0.874 0.874
Ir1 Ir 0.500 0.500 0.500
Rh1 Rh 0.000 0.500 0.500
Rh2 Rh 0.500 0.000 0.500
Rh3 Rh 0.500 0.500 0.000
# M_tot: 0.000 μB/f.u.
# space-group type: No. 166

---

The least stable of them is run P.

---

Run P
# PmIrRh | the Alexandria database | PBE | relaxed
data_PmIrRh
_chemical_formula_sum 'Pm1 Ir1 Rh1'
_space_group_name_H-M_alt 'P 1'
_space_group_IT_number 1
_cell_length_a 4.298
_cell_length_b 4.298
_cell_length_c 4.021
_cell_angle_alpha 90.00
_cell_angle_beta 90.00
_cell_angle_gamma 120.00
loop_
_space_group_symop_operation_xyz
'x,y,z'
loop_
_atom_site_label
_atom_site_type_symbol
_atom_site_fract_x
_atom_site_fract_y
_atom_site_fract_z
Pm1 Pm 0.000 0.000 0.000
Ir1 Ir 0.667 0.333 0.500
Rh1 Rh 0.333 0.667 0.500
# M_tot: 0.003 μB/f.u.
# space-group type: No. 187

---

Run Q
# PmIrRh | the Alexandria database | PBE | relaxed
data_PmIrRh
_chemical_formula_sum 'Pm1 Ir1 Rh1'
_space_group_name_H-M_alt 'P 1'
_space_group_IT_number 1
_cell_length_a 4.266
_cell_length_b 4.266
_cell_length_c 4.266
_cell_angle_alpha 69.02
_cell_angle_beta 69.02
_cell_angle_gamma 69.02
loop_
_space_group_symop_operation_xyz
'x,y,z'
loop_
_atom_site_label
_atom_site_type_symbol
_atom_site_fract_x
_atom_site_fract_y
_atom_site_fract_z
Pm1 Pm 0.000 0.000 0.000
Ir1 Ir 0.698 0.698 0.698
Rh1 Rh 0.440 0.440 0.440
# M_tot: 0.000 μB/f.u.
# space-group type: No. 160

---

The least stable of them is run Q.

---

Run P
# PmIrRh | the Alexandria database | PBE | relaxed
data_PmIrRh
_chemical_formula_sum 'Pm1 Ir1 Rh1'
_space_group_name_H-M_alt 'P 1'
_space_group_IT_number 1
_cell_length_a 5.445
_cell_length_b 5.445
_cell_length_c 5.445
_cell_angle_alpha 142.23
_cell_angle_beta 142.23
_cell_angle_gamma 54.48
loop_
_space_group_symop_operation_xyz
'x,y,z'
loop_
_atom_site_label
_atom_site_type_symbol
_atom_site_fract_x
_atom_site_fract_y
_atom_site_fract_z
Pm1 Pm 0.000 0.000 0.000
Ir1 Ir 0.301 0.301 0.000
Rh1 Rh 0.708 0.708 0.000
# M_tot: 0.261 μB/f.u.
# space-group type: No. 107

---

Run Q
# PmIrRh | the Alexandria database | PBE | relaxed
data_PmIrRh
_chemical_formula_sum 'Pm2 Ir2 Rh2'
_space_group_name_H-M_alt 'P 1'
_space_group_IT_number 1
_cell_length_a 5.416
_cell_length_b 5.416
_cell_length_c 5.416
_cell_angle_alpha 120.40
_cell_angle_beta 119.92
_cell_angle_gamma 89.72
loop_
_space_group_symop_operation_xyz
'x,y,z'
loop_
_atom_site_label
_atom_site_type_symbol
_atom_site_fract_x
_atom_site_fract_y
_atom_site_fract_z
Pm1 Pm 0.374 0.124 0.250
Pm2 Pm 0.626 0.876 0.750
Ir1 Ir 0.000 0.000 0.500
Ir2 Ir 0.000 0.500 0.000
Rh1 Rh 0.000 0.500 0.500
Rh2 Rh 0.500 0.500 0.000
# M_tot: 0.000 μB/f.u.
# space-group type: No. 74

---

The least stable of them is run P.

---

Run P
# Pm3IrRh | the Alexandria database | PBE | relaxed
data_Pm3IrRh
_chemical_formula_sum 'Pm6 Ir2 Rh2'
_space_group_name_H-M_alt 'P 1'
_space_group_IT_number 1
_cell_length_a 7.897
_cell_length_b 7.897
_cell_length_c 8.452
_cell_angle_alpha 122.34
_cell_angle_beta 122.34
_cell_angle_gamma 36.09
loop_
_space_group_symop_operation_xyz
'x,y,z'
loop_
_atom_site_label
_atom_site_type_symbol
_atom_site_fract_x
_atom_site_fract_y
_atom_site_fract_z
Pm1 Pm 0.080 0.080 0.247
Pm2 Pm 0.253 0.253 0.752
Pm3 Pm 0.415 0.415 0.249
Pm4 Pm 0.585 0.585 0.751
Pm5 Pm 0.747 0.747 0.248
Pm6 Pm 0.920 0.920 0.753
Ir1 Ir 0.164 0.164 0.998
Ir2 Ir 0.836 0.836 0.002
Rh1 Rh 0.334 0.334 0.501
Rh2 Rh 0.666 0.666 0.499
# M_tot: 0.000 μB/f.u.
# space-group type: No. 12

---

Run Q
# Pm3IrRh | the Alexandria database | PBE | relaxed
data_Pm3IrRh
_chemical_formula_sum 'Pm12 Ir4 Rh4'
_space_group_name_H-M_alt 'P 1'
_space_group_IT_number 1
_cell_length_a 9.346
_cell_length_b 7.009
_cell_length_c 8.572
_cell_angle_alpha 90.00
_cell_angle_beta 108.94
_cell_angle_gamma 90.00
loop_
_space_group_symop_operation_xyz
'x,y,z'
loop_
_atom_site_label
_atom_site_type_symbol
_atom_site_fract_x
_atom_site_fract_y
_atom_site_fract_z
Pm1 Pm 0.050 0.001 0.313
Pm2 Pm 0.050 0.499 0.813
Pm3 Pm 0.257 0.646 0.570
Pm4 Pm 0.257 0.854 0.070
Pm5 Pm 0.362 0.163 0.754
Pm6 Pm 0.362 0.337 0.254
Pm7 Pm 0.638 0.663 0.746
Pm8 Pm 0.638 0.837 0.246
Pm9 Pm 0.743 0.146 0.930
Pm10 Pm 0.743 0.354 0.430
Pm11 Pm 0.950 0.501 0.187
Pm12 Pm 0.950 0.999 0.687
Ir1 Ir 0.076 0.197 0.030
Ir2 Ir 0.076 0.303 0.530
Ir3 Ir 0.924 0.697 0.470
Ir4 Ir 0.924 0.803 0.970
Rh1 Rh 0.419 0.643 0.914
Rh2 Rh 0.419 0.857 0.414
Rh3 Rh 0.581 0.143 0.586
Rh4 Rh 0.581 0.357 0.086
# M_tot: 0.000 μB/f.u.
# space-group type: No. 14

---

The least stable of them is run Q.

---

Run P
# Pm6IrRh2 | the Alexandria database | PBE | relaxed
data_Pm6IrRh2
_chemical_formula_sum 'Pm12 Ir2 Rh4'
_space_group_name_H-M_alt 'P 1'
_space_group_IT_number 1
_cell_length_a 8.494
_cell_length_b 8.494
_cell_length_c 8.494
_cell_angle_alpha 110.94
_cell_angle_beta 110.00
_cell_angle_gamma 107.49
loop_
_space_group_symop_operation_xyz
'x,y,z'
loop_
_atom_site_label
_atom_site_type_symbol
_atom_site_fract_x
_atom_site_fract_y
_atom_site_fract_z
Pm1 Pm 0.023 0.830 0.193
Pm2 Pm 0.259 0.574 0.315
Pm3 Pm 0.259 0.944 0.685
Pm4 Pm 0.262 0.327 0.589
Pm5 Pm 0.262 0.673 0.935
Pm6 Pm 0.363 0.170 0.193
Pm7 Pm 0.637 0.830 0.807
Pm8 Pm 0.738 0.327 0.065
Pm9 Pm 0.738 0.673 0.411
Pm10 Pm 0.741 0.056 0.315
Pm11 Pm 0.741 0.426 0.685
Pm12 Pm 0.977 0.170 0.807
Ir1 Ir 0.000 0.500 0.500
Ir2 Ir 0.500 0.000 0.500
Rh1 Rh 0.000 0.167 0.167
Rh2 Rh 0.000 0.833 0.833
Rh3 Rh 0.371 0.371 0.000
Rh4 Rh 0.629 0.629 0.000
# M_tot: 0.000 μB/f.u.
# space-group type: No. 71

---

Run Q
# Pm6IrRh2 | the Alexandria database | PBE | relaxed
data_Pm6IrRh2
_chemical_formula_sum 'Pm12 Ir2 Rh4'
_space_group_name_H-M_alt 'P 1'
_space_group_IT_number 1
_cell_length_a 6.779
_cell_length_b 7.405
_cell_length_c 11.980
_cell_angle_alpha 90.00
_cell_angle_beta 121.21
_cell_angle_gamma 90.00
loop_
_space_group_symop_operation_xyz
'x,y,z'
loop_
_atom_site_label
_atom_site_type_symbol
_atom_site_fract_x
_atom_site_fract_y
_atom_site_fract_z
Pm1 Pm 0.085 0.056 0.252
Pm2 Pm 0.085 0.444 0.752
Pm3 Pm 0.257 0.677 0.080
Pm4 Pm 0.257 0.823 0.580
Pm5 Pm 0.405 0.181 0.069
Pm6 Pm 0.405 0.319 0.569
Pm7 Pm 0.595 0.681 0.431
Pm8 Pm 0.595 0.819 0.931
Pm9 Pm 0.743 0.177 0.420
Pm10 Pm 0.743 0.323 0.920
Pm11 Pm 0.915 0.556 0.248
Pm12 Pm 0.915 0.944 0.748
Ir1 Ir 0.000 0.000 0.000
Ir2 Ir 0.000 0.500 0.500
Rh1 Rh 0.318 0.113 0.768
Rh2 Rh 0.318 0.387 0.268
Rh3 Rh 0.682 0.613 0.732
Rh4 Rh 0.682 0.887 0.232
# M_tot: 0.000 μB/f.u.
# space-group type: No. 14

---

The least stable of them is run P.

---

Run P
# PmThIrRh | the Alexandria database | PBE | relaxed
data_PmThIrRh
_chemical_formula_sum 'Pm1 Th1 Ir1 Rh1'
_space_group_name_H-M_alt 'P 1'
_space_group_IT_number 1
_cell_length_a 4.214
_cell_length_b 5.895
_cell_length_c 5.895
_cell_angle_alpha 39.03
_cell_angle_beta 90.00
_cell_angle_gamma 90.00
loop_
_space_group_symop_operation_xyz
'x,y,z'
loop_
_atom_site_label
_atom_site_type_symbol
_atom_site_fract_x
_atom_site_fract_y
_atom_site_fract_z
Pm1 Pm 0.000 0.000 0.000
Th1 Th 0.500 0.722 0.722
Ir1 Ir 0.000 0.269 0.269
Rh1 Rh 0.500 0.453 0.453
# M_tot: 0.000 μB/f.u.
# space-group type: No. 38

---

Run Q
# PmThIrRh | the Alexandria database | PBE | relaxed
data_PmThIrRh
_chemical_formula_sum 'Pm1 Th1 Ir1 Rh1'
_space_group_name_H-M_alt 'P 1'
_space_group_IT_number 1
_cell_length_a 5.013
_cell_length_b 5.013
_cell_length_c 5.013
_cell_angle_alpha 60.00
_cell_angle_beta 60.00
_cell_angle_gamma 60.00
loop_
_space_group_symop_operation_xyz
'x,y,z'
loop_
_atom_site_label
_atom_site_type_symbol
_atom_site_fract_x
_atom_site_fract_y
_atom_site_fract_z
Pm1 Pm 0.000 0.000 0.000
Th1 Th 0.500 0.500 0.500
Ir1 Ir 0.250 0.250 0.250
Rh1 Rh 0.750 0.750 0.750
# M_tot: 0.000 μB/f.u.
# space-group type: No. 216

---

The least stable of them is run Q.

---

Run P
# Pm2Si3Ir2 | the Alexandria database | PBE | relaxed
data_Pm2Si3Ir2
_chemical_formula_sum 'Pm4 Si6 Ir4'
_space_group_name_H-M_alt 'P 1'
_space_group_IT_number 1
_cell_length_a 9.084
_cell_length_b 9.084
_cell_length_c 6.994
_cell_angle_alpha 90.00
_cell_angle_beta 90.00
_cell_angle_gamma 153.23
loop_
_space_group_symop_operation_xyz
'x,y,z'
loop_
_atom_site_label
_atom_site_type_symbol
_atom_site_fract_x
_atom_site_fract_y
_atom_site_fract_z
Pm1 Pm 0.057 0.943 0.750
Pm2 Pm 0.154 0.846 0.250
Pm3 Pm 0.846 0.154 0.750
Pm4 Pm 0.943 0.057 0.250
Si1 Si 0.226 0.774 0.750
Si2 Si 0.438 0.562 0.570
Si3 Si 0.438 0.562 0.930
Si4 Si 0.562 0.438 0.070
Si5 Si 0.562 0.438 0.430
Si6 Si 0.774 0.226 0.250
Ir1 Ir 0.308 0.692 0.050
Ir2 Ir 0.308 0.692 0.450
Ir3 Ir 0.692 0.308 0.550
Ir4 Ir 0.692 0.308 0.950
# M_tot: 0.000 μB/f.u.
# space-group type: No. 63

---

Run Q
# Pm2Si3Ir2 | the Alexandria database | PBE | relaxed
data_Pm2Si3Ir2
_chemical_formula_sum 'Pm2 Si3 Ir2'
_space_group_name_H-M_alt 'P 1'
_space_group_IT_number 1
_cell_length_a 5.774
_cell_length_b 5.774
_cell_length_c 6.988
_cell_angle_alpha 117.47
_cell_angle_beta 117.47
_cell_angle_gamma 40.92
loop_
_space_group_symop_operation_xyz
'x,y,z'
loop_
_atom_site_label
_atom_site_type_symbol
_atom_site_fract_x
_atom_site_fract_y
_atom_site_fract_z
Pm1 Pm 0.140 0.140 0.266
Pm2 Pm 0.860 0.860 0.734
Si1 Si 0.358 0.358 0.067
Si2 Si 0.500 0.500 0.500
Si3 Si 0.642 0.642 0.933
Ir1 Ir 0.135 0.135 0.720
Ir2 Ir 0.865 0.865 0.280
# M_tot: 0.000 μB/f.u.
# space-group type: No. 12

---

The least stable of them is run Q.